(1)
Material: CsZnHO2
Method: DFT, PBE
State: relaxed

The energy comes out at -4.279 eV per atom.

The structure in CIF format:
```
data_CsZnHO2
_cell_length_a 6.3820
_cell_length_b 4.4022
_cell_length_c 5.8516
_cell_angle_alpha 90.00
_cell_angle_beta 113.45
_cell_angle_gamma 90.00
_space_group_name_H-M_alt 'P 1 2/c 1'
_space_group_IT_number 13
loop_
_space_group_symop_operation_xyz
'x,y,z'
'-x,-y,-z'
'-x,y,-z+1/2'
'x,-y,z+1/2'
loop_
_atom_site_label
_atom_site_type_symbol
_atom_site_fract_x
_atom_site_fract_y
_atom_site_fract_z
_atom_site_occupancy
Cs1 Cs 0.0000 0.2338 0.2500 1
Zn1 Zn 0.5000 0.4952 0.7500 1
H1 H 0.5000 0.0000 0.0000 1
O1 O 0.3706 0.2285 0.9455 1
```

(2)
Material: CsHOs3
Method: DFT, PBE
State: relaxed

The energy relative to the lowest polymorph listed for this composition comes out at 2441 meV per atom. The energy comes out at -3.029 eV per atom.

The structure in CIF format:
```
data_CsHOs3
_cell_length_a 5.0654
_cell_length_b 5.0654
_cell_length_c 5.0654
_cell_angle_alpha 90.00
_cell_angle_beta 90.00
_cell_angle_gamma 90.00
_space_group_name_H-M_alt 'P m -3 m'
_space_group_IT_number 221
_space_group_name_Hall '-P 4 2 3'
loop_
_atom_site_label
_atom_site_type_symbol
_atom_site_fract_x
_atom_site_fract_y
_atom_site_fract_z
_atom_site_occupancy
Cs1 Cs 0.0000 0.0000 0.0000 1
H1 H 0.5000 0.5000 0.5000 1
Os1 Os 0.0000 0.0000 0.5000 1
```

(3)
Material: Cs2H7Os
Method: DFT, PBE
State: relaxed

The energy comes out at -3.773 eV per atom.

The structure in CIF format:
```
data_Cs2H7Os
_cell_length_a 14.0019
_cell_length_b 5.6105
_cell_length_c 10.7308
_cell_angle_alpha 90.00
_cell_angle_beta 127.71
_cell_angle_gamma 90.00
_space_group_name_H-M_alt 'C 1 2/c 1'
_space_group_IT_number 15
loop_
_space_group_symop_operation_xyz
'x,y,z'
'-x,-y,-z'
'-x,y,-z+1/2'
'x,-y,z+1/2'
'x+1/2,y+1/2,z'
'-x+1/2,-y+1/2,-z'
'-x+1/2,y+1/2,-z+1/2'
'x+1/2,-y+1/2,z+1/2'
loop_
_atom_site_label
_atom_site_type_symbol
_atom_site_fract_x
_atom_site_fract_y
_atom_site_fract_z
_atom_site_occupancy
Cs1 Cs 0.1602 0.0233 0.0708 1
H1 H 0.0000 0.2304 0.2500 1
H2 H 0.0662 0.4252 0.1737 1
H3 H 0.0746 0.2353 0.7475 1
H4 H 0.1250 0.4322 0.4210 1
Os1 Os 0.0000 0.4735 0.7500 1
```

(4)
Material: Cs3H6Os
Method: DFT, PBE
State: relaxed

The energy comes out at -3.508 eV per atom.

The structure in CIF format:
```
data_Cs3H6Os
_cell_length_a 11.2295
_cell_length_b 6.4824
_cell_length_c 6.4823
_cell_angle_alpha 90.00
_cell_angle_beta 125.25
_cell_angle_gamma 90.00
_space_group_name_H-M_alt 'C 1 2/m 1'
_space_group_IT_number 12
loop_
_space_group_symop_operation_xyz
'x,y,z'
'-x,-y,-z'
'-x,y,-z'
'x,-y,z'
'x+1/2,y+1/2,z'
'-x+1/2,-y+1/2,-z'
'-x+1/2,y+1/2,-z'
'x+1/2,-y+1/2,z'
loop_
_atom_site_label
_atom_site_type_symbol
_atom_site_fract_x
_atom_site_fract_y
_atom_site_fract_z
_atom_site_occupancy
Cs1 Cs 0.0000 0.0000 0.0000 1
Cs2 Cs 0.2500 0.0000 0.7500 1
H1 H 0.0007 0.3107 0.3114 1
H2 H 0.1892 0.5000 0.6906 1
Os1 Os 0.0000 0.5000 0.5000 1
```

(5)
Material: CsHOs3
Method: DFT, PBE
State: relaxed

The energy relative to the lowest polymorph listed for this composition comes out at 0 meV per atom. The energy comes out at -5.471 eV per atom.

The structure in CIF format:
```
data_CsHOs3
_cell_length_a 4.1908
_cell_length_b 4.1908
_cell_length_c 4.1908
_cell_angle_alpha 90.00
_cell_angle_beta 90.00
_cell_angle_gamma 90.00
_space_group_name_H-M_alt 'P m -3 m'
_space_group_IT_number 221
_space_group_name_Hall '-P 4 2 3'
loop_
_atom_site_label
_atom_site_type_symbol
_atom_site_fract_x
_atom_site_fract_y
_atom_site_fract_z
_atom_site_occupancy
Cs1 Cs 0.0000 0.0000 0.0000 1
H1 H 0.5000 0.5000 0.5000 1
Os1 Os 0.0000 0.5000 0.5000 1
```

(6)
Material: CsH2Os
Method: DFT, PBE
State: relaxed

The energy comes out at -2.674 eV per atom.

The structure in CIF format:
```
data_CsH2Os
_cell_length_a 6.1025
_cell_length_b 6.1025
_cell_length_c 6.1025
_cell_angle_alpha 90.00
_cell_angle_beta 90.00
_cell_angle_gamma 90.00
_space_group_name_H-M_alt 'F m -3 m'
_space_group_IT_number 225
_space_group_name_Hall '-F 4 2 3'
loop_
_atom_site_label
_atom_site_type_symbol
_atom_site_fract_x
_atom_site_fract_y
_atom_site_fract_z
_atom_site_occupancy
Cs1 Cs 0.0000 0.0000 0.0000 1
H1 H 0.2500 0.2500 0.2500 1
Os1 Os 0.0000 0.0000 0.5000 1
```

(7)
Material: CsH8Os2
Method: DFT, PBE
State: relaxed

The energy comes out at -4.448 eV per atom.

The structure in CIF format:
```
data_CsH8Os2
_cell_length_a 4.8494
_cell_length_b 8.2068
_cell_length_c 6.3483
_cell_angle_alpha 90.00
_cell_angle_beta 90.55
_cell_angle_gamma 90.00
_space_group_name_H-M_alt 'C 1 m 1'
_space_group_IT_number 8
loop_
_space_group_symop_operation_xyz
'x,y,z'
'x,-y,z'
'x+1/2,y+1/2,z'
'x+1/2,-y+1/2,z'
loop_
_atom_site_label
_atom_site_type_symbol
_atom_site_fract_x
_atom_site_fract_y
_atom_site_fract_z
_atom_site_occupancy
Cs1 Cs 0.0000 0.0000 0.0000 1
H1 H 0.0139 0.3192 0.7641 1
H2 H 0.1267 0.5000 0.3471 1
H3 H 0.1788 0.1890 0.3578 1
H4 H 0.2996 0.0000 0.6141 1
H5 H 0.3490 0.3521 0.5957 1
Os1 Os 0.4992 0.1638 0.5102 1
```

(8)
Material: CsHOs2
Method: DFT, PBE
State: relaxed

The energy comes out at -3.766 eV per atom.

The structure in CIF format:
```
data_CsHOs2
_cell_length_a 6.3486
_cell_length_b 6.3486
_cell_length_c 6.3486
_cell_angle_alpha 90.00
_cell_angle_beta 90.00
_cell_angle_gamma 90.00
_space_group_name_H-M_alt 'F m -3 m'
_space_group_IT_number 225
_space_group_name_Hall '-F 4 2 3'
loop_
_atom_site_label
_atom_site_type_symbol
_atom_site_fract_x
_atom_site_fract_y
_atom_site_fract_z
_atom_site_occupancy
Cs1 Cs 0.0000 0.0000 0.0000 1
H1 H 0.0000 0.0000 0.5000 1
Os1 Os 0.2500 0.2500 0.2500 1
```

(9)
Material: CsSnHOs
Method: DFT, PBE
State: relaxed

The energy relative to the lowest polymorph listed for this composition comes out at 37 meV per atom. The energy comes out at -4.507 eV per atom.

The structure in CIF format:
```
data_CsSnHOs
_cell_length_a 6.4283
_cell_length_b 3.3302
_cell_length_c 9.4986
_cell_angle_alpha 90.00
_cell_angle_beta 90.00
_cell_angle_gamma 90.00
_space_group_name_H-M_alt 'A m m 2'
_space_group_IT_number 38
loop_
_space_group_symop_operation_xyz
'x,y,z'
'-x,-y,z'
'-x,y,z'
'x,-y,z'
'x,y+1/2,z+1/2'
'-x,-y+1/2,z+1/2'
'-x,y+1/2,z+1/2'
'x,-y+1/2,z+1/2'
loop_
_atom_site_label
_atom_site_type_symbol
_atom_site_fract_x
_atom_site_fract_y
_atom_site_fract_z
_atom_site_occupancy
Cs1 Cs 0.0000 0.0000 0.0000 1
Sn1 Sn 0.5000 0.0000 0.7086 1
H1 H 0.5000 0.0000 0.9999 1
Os1 Os 0.5000 0.0000 0.4280 1
```

(10)
Material: CsSnHOs
Method: DFT, PBE
State: relaxed

The energy relative to the lowest polymorph listed for this composition comes out at 182 meV per atom. The energy comes out at -4.361 eV per atom.

The structure in CIF format:
```
data_CsSnHOs
_cell_length_a 3.5191
_cell_length_b 3.5191
_cell_length_c 14.2774
_cell_angle_alpha 90.00
_cell_angle_beta 90.00
_cell_angle_gamma 90.00
_space_group_name_H-M_alt 'I 4 m m'
_space_group_IT_number 107
_space_group_name_Hall 'I 4 -2'
loop_
_atom_site_label
_atom_site_type_symbol
_atom_site_fract_x
_atom_site_fract_y
_atom_site_fract_z
_atom_site_occupancy
Cs1 Cs 0.0000 0.0000 0.0000 1
Sn1 Sn 0.0000 0.0000 0.2641 1
H1 H 0.0000 0.0000 0.3935 1
Os1 Os 0.0000 0.0000 0.6953 1
```

(11)
Material: CsSnHOs
Method: DFT, PBE
State: relaxed

The energy relative to the lowest polymorph listed for this composition comes out at 30 meV per atom. The energy comes out at -4.514 eV per atom.

The structure in CIF format:
```
data_CsSnHOs
_cell_length_a 3.2215
_cell_length_b 3.6352
_cell_length_c 14.8240
_cell_angle_alpha 90.00
_cell_angle_beta 90.00
_cell_angle_gamma 90.00
_space_group_name_H-M_alt 'I m m 2'
_space_group_IT_number 44
loop_
_space_group_symop_operation_xyz
'x,y,z'
'-x,-y,z'
'-x,y,z'
'x,-y,z'
'x+1/2,y+1/2,z+1/2'
'-x+1/2,-y+1/2,z+1/2'
'-x+1/2,y+1/2,z+1/2'
'x+1/2,-y+1/2,z+1/2'
loop_
_atom_site_label
_atom_site_type_symbol
_atom_site_fract_x
_atom_site_fract_y
_atom_site_fract_z
_atom_site_occupancy
Cs1 Cs 0.0000 0.0000 0.0000 1
Sn1 Sn 0.0000 0.0000 0.2946 1
H1 H 0.0000 0.5000 0.1453 1
Os1 Os 0.0000 0.0000 0.7040 1
```

(12)
Material: CsSnHOs
Method: DFT, PBE
State: relaxed

The energy relative to the lowest polymorph listed for this composition comes out at 0 meV per atom. The energy comes out at -4.544 eV per atom.

The structure in CIF format:
```
data_CsSnHOs
_cell_length_a 3.3188
_cell_length_b 4.1659
_cell_length_c 13.7521
_cell_angle_alpha 90.00
_cell_angle_beta 90.00
_cell_angle_gamma 90.00
_space_group_name_H-M_alt 'I m m 2'
_space_group_IT_number 44
loop_
_space_group_symop_operation_xyz
'x,y,z'
'-x,-y,z'
'-x,y,z'
'x,-y,z'
'x+1/2,y+1/2,z+1/2'
'-x+1/2,-y+1/2,z+1/2'
'-x+1/2,y+1/2,z+1/2'
'x+1/2,-y+1/2,z+1/2'
loop_
_atom_site_label
_atom_site_type_symbol
_atom_site_fract_x
_atom_site_fract_y
_atom_site_fract_z
_atom_site_occupancy
Cs1 Cs 0.0000 0.0000 0.0000 1
Sn1 Sn 0.0000 0.0000 0.2597 1
H1 H 0.0000 0.0000 0.6089 1
Os1 Os 0.0000 0.0000 0.7282 1
```

(13)
Material: CsSnHOs
Method: DFT, PBE
State: relaxed

The energy relative to the lowest polymorph listed for this composition comes out at 39 meV per atom. The energy comes out at -4.505 eV per atom.

The structure in CIF format:
```
data_CsSnHOs
_cell_length_a 4.5022
_cell_length_b 4.5022
_cell_length_c 19.4326
_cell_angle_alpha 90.00
_cell_angle_beta 90.00
_cell_angle_gamma 120.00
_space_group_name_H-M_alt 'R 3 m'
_space_group_IT_number 160
_space_group_name_Hall 'R 3 -2"'
loop_
_atom_site_label
_atom_site_type_symbol
_atom_site_fract_x
_atom_site_fract_y
_atom_site_fract_z
_atom_site_occupancy
Cs1 Cs 0.0000 0.0000 0.0000 1
Sn1 Sn 0.0000 0.0000 0.4924 1
H1 H 0.0000 0.0000 0.7313 1
Os1 Os 0.0000 0.0000 0.8144 1
```

(14)
Material: CsSnHOs
Method: DFT, PBE
State: relaxed

The energy relative to the lowest polymorph listed for this composition comes out at 19 meV per atom. The energy comes out at -4.524 eV per atom.

The structure in CIF format:
```
data_CsSnHOs
_cell_length_a 7.7774
_cell_length_b 4.5313
_cell_length_c 6.2964
_cell_angle_alpha 90.00
_cell_angle_beta 90.19
_cell_angle_gamma 90.00
_space_group_name_H-M_alt 'C 1 m 1'
_space_group_IT_number 8
loop_
_space_group_symop_operation_xyz
'x,y,z'
'x,-y,z'
'x+1/2,y+1/2,z'
'x+1/2,-y+1/2,z'
loop_
_atom_site_label
_atom_site_type_symbol
_atom_site_fract_x
_atom_site_fract_y
_atom_site_fract_z
_atom_site_occupancy
Cs1 Cs 0.0000 0.0000 0.0000 1
Sn1 Sn 0.1669 0.5000 0.5021 1
H1 H 0.3338 0.0000 0.7818 1
Os1 Os 0.3323 0.0000 0.5257 1
```

(15)
Material: Cs2SrH6Os
Method: DFT, PBE
State: relaxed

The energy comes out at -3.741 eV per atom.

The structure in CIF format:
```
data_Cs2SrH6Os
_cell_length_a 6.5625
_cell_length_b 6.5625
_cell_length_c 5.9283
_cell_angle_alpha 90.00
_cell_angle_beta 90.00
_cell_angle_gamma 120.00
_space_group_name_H-M_alt 'P -3 m 1'
_space_group_IT_number 164
_space_group_name_Hall '-P 3 2"'
loop_
_atom_site_label
_atom_site_type_symbol
_atom_site_fract_x
_atom_site_fract_y
_atom_site_fract_z
_atom_site_occupancy
Cs1 Cs 0.3333 0.6667 0.1429 1
Sr1 Sr 0.0000 0.0000 0.5000 1
H1 H 0.1288 0.2576 0.8361 1
Os1 Os 0.0000 0.0000 0.0000 1
```

(16)
Material: Cs2TlH6Os
Method: DFT, PBE
State: relaxed

The energy comes out at -3.586 eV per atom.

The structure in CIF format:
```
data_Cs2TlH6Os
_cell_length_a 6.4296
_cell_length_b 6.4296
_cell_length_c 5.4885
_cell_angle_alpha 90.00
_cell_angle_beta 90.00
_cell_angle_gamma 120.00
_space_group_name_H-M_alt 'P -3 m 1'
_space_group_IT_number 164
_space_group_name_Hall '-P 3 2"'
loop_
_atom_site_label
_atom_site_type_symbol
_atom_site_fract_x
_atom_site_fract_y
_atom_site_fract_z
_atom_site_occupancy
Cs1 Cs 0.3333 0.6667 0.2292 1
Tl1 Tl 0.0000 0.0000 0.5000 1
H1 H 0.1421 0.2843 0.8669 1
Os1 Os 0.0000 0.0000 0.0000 1
```

(17)
Material: CsZnH6Os
Method: DFT, PBE
State: relaxed

The energy comes out at -3.794 eV per atom.

The structure in CIF format:
```
data_CsZnH6Os
_cell_length_a 4.1161
_cell_length_b 4.8473
_cell_length_c 6.6368
_cell_angle_alpha 81.45
_cell_angle_beta 87.80
_cell_angle_gamma 65.11
_space_group_name_H-M_alt 'P 1'
_space_group_IT_number 1
loop_
_space_group_symop_operation_xyz
'x,y,z'
loop_
_atom_site_label
_atom_site_type_symbol
_atom_site_fract_x
_atom_site_fract_y
_atom_site_fract_z
_atom_site_occupancy
Cs1 Cs 0.0000 0.0000 0.0000 1
Zn1 Zn 0.6555 0.7078 0.5112 1
H1 H 0.0999 0.6544 0.3892 1
H2 H 0.2825 0.4934 0.7223 1
H3 H 0.3195 0.1189 0.3357 1
H4 H 0.5274 0.9911 0.6955 1
H5 H 0.5742 0.3735 0.3010 1
H6 H 0.8173 0.2344 0.5501 1
Os1 Os 0.3841 0.3101 0.5115 1
```

(18)
Material: Cs4PH
Method: DFT, PBE
State: relaxed

The energy comes out at -2.162 eV per atom.

The structure in CIF format:
```
data_Cs4PH
_cell_length_a 10.5410
_cell_length_b 15.6539
_cell_length_c 7.8961
_cell_angle_alpha 90.00
_cell_angle_beta 122.31
_cell_angle_gamma 90.00
_space_group_name_H-M_alt 'C 1 2/c 1'
_space_group_IT_number 15
loop_
_space_group_symop_operation_xyz
'x,y,z'
'-x,-y,-z'
'-x,y,-z+1/2'
'x,-y,z+1/2'
'x+1/2,y+1/2,z'
'-x+1/2,-y+1/2,-z'
'-x+1/2,y+1/2,-z+1/2'
'x+1/2,-y+1/2,z+1/2'
loop_
_atom_site_label
_atom_site_type_symbol
_atom_site_fract_x
_atom_site_fract_y
_atom_site_fract_z
_atom_site_occupancy
Cs1 Cs 0.1189 0.1750 0.0711 1
Cs2 Cs 0.2019 0.4480 0.2557 1
P1 P 0.0000 0.3632 0.7500 1
H1 H 0.0000 0.0052 0.7500 1
```

(19)
Material: CsP3H
Method: DFT, PBE
State: relaxed

The energy comes out at -3.047 eV per atom.

The structure in CIF format:
```
data_CsP3H
_cell_length_a 4.5640
_cell_length_b 4.5640
_cell_length_c 4.5640
_cell_angle_alpha 90.00
_cell_angle_beta 90.00
_cell_angle_gamma 90.00
_space_group_name_H-M_alt 'P m -3 m'
_space_group_IT_number 221
_space_group_name_Hall '-P 4 2 3'
loop_
_atom_site_label
_atom_site_type_symbol
_atom_site_fract_x
_atom_site_fract_y
_atom_site_fract_z
_atom_site_occupancy
Cs1 Cs 0.0000 0.0000 0.0000 1
P1 P 0.0000 0.5000 0.5000 1
H1 H 0.5000 0.5000 0.5000 1
```

(20)
Material: CsPH4
Method: DFT, PBE
State: relaxed

The energy relative to the lowest polymorph listed for this composition comes out at 0 meV per atom. The energy comes out at -3.483 eV per atom.

The structure in CIF format:
```
data_CsPH4
_cell_length_a 6.5930
_cell_length_b 10.2403
_cell_length_c 7.4363
_cell_angle_alpha 90.00
_cell_angle_beta 90.00
_cell_angle_gamma 90.00
_space_group_name_H-M_alt 'C m c m'
_space_group_IT_number 63
_space_group_name_Hall '-C 2c 2'
loop_
_atom_site_label
_atom_site_type_symbol
_atom_site_fract_x
_atom_site_fract_y
_atom_site_fract_z
_atom_site_occupancy
Cs1 Cs 0.0000 0.1799 0.2500 1
P1 P 0.0000 0.2003 0.7500 1
H1 H 0.0000 0.4680 0.5255 1
H2 H 0.1570 0.1030 0.7500 1
```